[1]
! K2MoNO (PBE+U, relaxed); values from VASP
&SYSTEM
  ibrav = 0, nat = 5, ntyp = 4
/
ATOMIC_SPECIES
K 39.10 K.upf
N 14.01 N.upf
Mo 95.94 Mo.upf
O 16.00 O.upf
CELL_PARAMETERS angstrom
6.046 0.000 0.000
0.000 3.432 0.000
0.000 0.000 6.046
ATOMIC_POSITIONS angstrom
K 3.023 0.000 0.000
K 0.000 0.000 3.023
N 0.000 0.000 0.000
Mo 3.023 1.716 3.023
O 0.000 1.716 0.000
! **Total magnetization**: 1.10 μB/atom
! **SG**: P4/mmm (123)

***

[2]
! KMoN2O (PBE+U, relaxed); values from VASP
&SYSTEM
  ibrav = 0, nat = 5, ntyp = 4
/
ATOMIC_SPECIES
Mo 95.94 Mo.upf
O 16.00 O.upf
N 14.01 N.upf
K 39.10 K.upf
CELL_PARAMETERS angstrom
-3.345 -0.320 3.375
2.656 -3.195 2.329
1.995 3.329 2.293
ATOMIC_POSITIONS angstrom
Mo 0.653 -0.093 3.998
O 0.997 1.665 1.146
N -1.673 -0.160 1.688
N 1.328 -1.598 1.164
K 0.000 0.000 0.000
! **Total magnetization**: 0.20 μB/atom
! **SG**: P4/mmm (123)

***

[3]
! KMoN2O (PBE+U, relaxed); values from VASP
&SYSTEM
  ibrav = 0, nat = 5, ntyp = 4
/
ATOMIC_SPECIES
N 14.01 N.upf
O 16.00 O.upf
K 39.10 K.upf
Mo 95.94 Mo.upf
CELL_PARAMETERS angstrom
4.040 0.000 0.000
0.000 4.040 0.000
0.000 0.000 4.070
ATOMIC_POSITIONS angstrom
N 2.020 0.000 0.000
N 0.000 2.020 0.000
O 0.000 0.000 2.035
K 2.020 2.020 2.035
Mo 0.000 0.000 0.000
! **Total magnetization**: 0.20 μB/atom
! **SG**: P4/mmm (123)

***

| no. | total DFT energy (no corrections) (eV per atom) |
| --- | --- |
| 1 | -3.429 |
| 2 | -3.682 |
| 3 | -6.149 |